Computed, not measured: crystalline CaSmCr4O12 at its relaxed geometry at the GGA+U level of DFT.

CIF file:
```
data_CaSmCr4O12
_chemical_formula_sum 'Ca2 Sm2 Cr8 O24'
_space_group_name_H-M_alt 'A m m 2'
_space_group_IT_number 38
_cell_length_a 6.606
_cell_length_b 7.349
_cell_length_c 9.578
_cell_angle_alpha 90.00
_cell_angle_beta 90.00
_cell_angle_gamma 90.00
loop_
_space_group_symop_operation_xyz
'x,y,z'
'-x,-y,z'
'-x,y,z'
'x,-y,z'
'x,y+1/2,z+1/2'
'-x,-y+1/2,z+1/2'
'-x,y+1/2,z+1/2'
'x,-y+1/2,z+1/2'
loop_
_atom_site_label
_atom_site_fract_x
_atom_site_fract_y
_atom_site_fract_z
Ca1 0.000 0.000 0.000
Sm1 0.500 0.000 0.498
Cr1 0.249 0.249 0.223
O1 0.000 0.175 0.788
O2 0.168 0.000 0.243
O3 0.254 0.247 0.042
O4 0.334 0.000 0.724
O5 0.500 0.183 0.293
```

Properties
The calculated volume comes out at 12.917 Å³ per atom. The value obtained for the uncorrected energy is -254.4 eV per cell. The density of states at the Fermi level comes out at 7.05 states/eV/f.u. The calculation puts the total magnetization at 10.0 μB per cell.